Record 1
! CrCuP2Cl PBE relaxed; values from VASP
&SYSTEM
  ibrav = 0, nat = 5, ntyp = 4
/
ATOMIC_SPECIES
Cr 52.00 Cr.upf
P 30.97 P.upf
Cu 63.55 Cu.upf
Cl 35.45 Cl.upf
ATOMIC_POSITIONS angstrom
Cr 0.000 0.000 0.000
P -0.222 -1.220 -1.806
P -0.333 -1.775 1.241
Cu 1.894 -3.451 -0.559
Cl 2.449 -0.456 0.006
CELL_PARAMETERS angstrom
-0.667 -3.550 2.481
-0.445 -2.441 -3.612
4.899 -0.911 0.013
! density of states at the Fermi level: 2.986 states/eV/cell
! crystal system: tetragonal
! total DFT energy (no corrections): -23.92 eV/f.u.
! total moment: 1.3 Bohr magnetons per cell

=====

Record 2
! CrCuP2Cl PBE relaxed; values from VASP
&SYSTEM
  ibrav = 0, nat = 5, ntyp = 4
/
ATOMIC_SPECIES
Cr 52.00 Cr.upf
P 30.97 P.upf
Cu 63.55 Cu.upf
Cl 35.45 Cl.upf
ATOMIC_POSITIONS angstrom
Cr 2.210 2.210 2.364
P 0.000 2.210 0.000
P 2.210 0.000 0.000
Cu 0.000 0.000 0.000
Cl 0.000 0.000 2.364
CELL_PARAMETERS angstrom
4.419 0.000 0.000
0.000 4.419 0.000
0.000 0.000 4.728
! density of states at the Fermi level: 5.963 states/eV/cell
! crystal system: tetragonal
! total DFT energy (no corrections): -20.65 eV/f.u.
! total moment: 0.1 Bohr magnetons per cell

=====

Record 3
! CrCuPCl2 PBE relaxed; values from VASP
&SYSTEM
  ibrav = 0, nat = 5, ntyp = 4
/
ATOMIC_SPECIES
Cr 52.00 Cr.upf
P 30.97 P.upf
Cu 63.55 Cu.upf
Cl 35.45 Cl.upf
ATOMIC_POSITIONS angstrom
Cr 0.000 0.000 0.000
P 1.527 0.260 1.752
Cu -0.930 1.360 3.730
Cl -1.531 -1.016 1.484
Cl -0.926 2.116 0.493
CELL_PARAMETERS angstrom
-1.853 4.232 0.986
-3.061 -2.032 2.968
3.053 0.520 3.505
! density of states at the Fermi level: 2.425 states/eV/cell
! crystal system: tetragonal
! total DFT energy (no corrections): -21.68 eV/f.u.
! total moment: 2.0 Bohr magnetons per cell

=====

Record 4
! Rb3CrCu2Cl9 PBE relaxed; values from VASP
&SYSTEM
  ibrav = 0, nat = 15, ntyp = 4
/
ATOMIC_SPECIES
Rb 85.47 Rb.upf
Cr 52.00 Cr.upf
Cu 63.55 Cu.upf
Cl 35.45 Cl.upf
ATOMIC_POSITIONS angstrom
Rb 0.000 4.042 5.727
Rb 0.000 0.000 0.000
Rb 3.501 2.021 2.876
Cr 0.000 0.000 4.302
Cu 0.000 4.042 1.269
Cu 3.501 2.021 7.334
Cl 5.303 0.981 5.682
Cl 3.501 4.103 5.682
Cl 1.698 0.981 5.682
Cl 1.802 5.083 2.921
Cl 0.000 1.961 2.921
Cl -1.802 5.083 2.921
Cl 3.501 0.000 0.000
Cl -1.750 3.032 0.000
Cl 1.750 3.032 0.000
CELL_PARAMETERS angstrom
7.002 0.000 0.000
-3.501 6.064 0.000
0.000 0.000 8.603
! density of states at the Fermi level: 3.211 states/eV/cell
! crystal system: trigonal
! total DFT energy (no corrections): -55.96 eV/f.u.
! total moment: 4.2 Bohr magnetons per cell

=====

Record 5
! CrCuSCl2 PBE relaxed; values from VASP
&SYSTEM
  ibrav = 0, nat = 5, ntyp = 4
/
ATOMIC_SPECIES
Cr 52.00 Cr.upf
S 32.06 S.upf
Cu 63.55 Cu.upf
Cl 35.45 Cl.upf
ATOMIC_POSITIONS angstrom
Cr -3.054 -0.474 2.596
S 0.150 -0.690 2.324
Cu 0.000 0.000 0.000
Cl -1.744 -1.434 -0.313
Cl -1.461 1.650 0.584
CELL_PARAMETERS angstrom
-2.921 3.299 1.168
-3.488 -2.867 -0.625
0.301 -1.380 4.648
! density of states at the Fermi level: 4.126 states/eV/cell
! crystal system: tetragonal
! total DFT energy (no corrections): -20.84 eV/f.u.
! total moment: 4.1 Bohr magnetons per cell

=====

Record 6
! CrCuS2Cl PBE relaxed; values from VASP
&SYSTEM
  ibrav = 0, nat = 5, ntyp = 4
/
ATOMIC_SPECIES
Cr 52.00 Cr.upf
S 32.06 S.upf
Cu 63.55 Cu.upf
Cl 35.45 Cl.upf
ATOMIC_POSITIONS angstrom
Cr 0.000 0.000 0.000
S -0.644 1.504 1.580
S -1.077 1.213 -1.594
Cu -3.715 1.457 0.373
Cl -1.994 -1.261 0.388
CELL_PARAMETERS angstrom
-2.154 2.427 -3.188
-3.989 -2.522 0.775
-1.288 3.008 3.160
! density of states at the Fermi level: 3.542 states/eV/cell
! crystal system: tetragonal
! total DFT energy (no corrections): -22.94 eV/f.u.
! total moment: 2.2 Bohr magnetons per cell

=====

Record 7
! CrCuSCl2 PBE relaxed; values from VASP
&SYSTEM
  ibrav = 0, nat = 5, ntyp = 4
/
ATOMIC_SPECIES
Cr 52.00 Cr.upf
S 32.06 S.upf
Cu 63.55 Cu.upf
Cl 35.45 Cl.upf
ATOMIC_POSITIONS angstrom
Cr 0.000 0.000 0.000
S 0.119 1.818 1.434
Cu -2.082 0.342 3.489
Cl 0.162 -1.471 1.853
Cl -2.363 -0.005 0.203
CELL_PARAMETERS angstrom
-4.725 -0.010 0.405
0.324 -2.942 3.705
0.238 3.637 2.867
! density of states at the Fermi level: 2.254 states/eV/cell
! crystal system: tetragonal
! total DFT energy (no corrections): -21.84 eV/f.u.
! total moment: 3.0 Bohr magnetons per cell

=====

Record 8
! CrCuSeCl2 PBE relaxed; values from VASP
&SYSTEM
  ibrav = 0, nat = 5, ntyp = 4
/
ATOMIC_SPECIES
Cr 52.00 Cr.upf
Cu 63.55 Cu.upf
Se 78.96 Se.upf
Cl 35.45 Cl.upf
ATOMIC_POSITIONS angstrom
Cr 0.000 0.000 2.370
Cu 2.690 2.690 2.370
Se 0.000 0.000 0.000
Cl 0.000 2.690 0.000
Cl 2.690 0.000 0.000
CELL_PARAMETERS angstrom
5.380 0.000 0.000
0.000 5.380 0.000
0.000 0.000 4.739
! density of states at the Fermi level: 2.502 states/eV/cell
! crystal system: tetragonal
! total DFT energy (no corrections): -17.83 eV/f.u.
! total moment: 4.1 Bohr magnetons per cell